1.
Computed, not measured: ZrZn9Cu2 after structural relaxation at the PBE-GGA level of DFT.

Values from the calculation:
**Magnetic moment**: 0.0 μB/f.u.
**Polymorph energy (0 for the lowest one)**: 0.0000 eV per atom
**Formation energy**: -1.60 eV/f.u.
**DOS(E_F)**: 2.66 states/eV/f.u.

a = 6.6117 Å, b = 8.0388 Å, c = 8.0388 Å
α = 80.26°, β = 65.72°, γ = 65.72°
Closest atoms and distances in Å follow each position.
Atoms (fractional coordinates):
Zr 0.5000 0.0000 0.0000  18 Zn 3.14-3.35
Zr 0.2500 0.5000 0.5000  18 Zn 3.14-3.35
Zn 0.7500 0.5000 0.5000  4 Cu 2.72, 8 Zn 2.77
Zn 0.0000 0.0000 0.0000  4 Cu 2.72, 8 Zn 2.77
Zn 0.0017 0.9190 0.6784  6 Zn 2.49-2.77, 2 Cu 2.53
Zn 0.5991 0.0810 0.3216  6 Zn 2.49-2.77, 2 Cu 2.53
Zn 0.6707 0.1784 0.5810  6 Zn 2.49-2.77, 2 Cu 2.53
Zn 0.4301 0.8216 0.4190  6 Zn 2.49-2.77, 2 Cu 2.53
Zn 0.7483 0.8216 0.5810  6 Zn 2.49-2.77, 2 Cu 2.53
Zn 0.1509 0.1784 0.4190  6 Zn 2.49-2.77, 2 Cu 2.53
Zn 0.0793 0.9190 0.3216  6 Zn 2.49-2.77, 2 Cu 2.53
Zn 0.3199 0.0810 0.6784  6 Zn 2.49-2.77, 2 Cu 2.53
Zn 0.7483 0.5810 0.8216  6 Zn 2.49-2.77, 2 Cu 2.53
Zn 0.1509 0.4190 0.1784  6 Zn 2.49-2.77, 2 Cu 2.53
Zn 0.0793 0.3216 0.9190  6 Zn 2.49-2.77, 2 Cu 2.53
Zn 0.3199 0.6784 0.0810  6 Zn 2.49-2.77, 2 Cu 2.53
Zn 0.0017 0.6784 0.9190  6 Zn 2.49-2.77, 2 Cu 2.53
Zn 0.5991 0.3216 0.0810  6 Zn 2.49-2.77, 2 Cu 2.53
Zn 0.6707 0.5810 0.1784  6 Zn 2.49-2.77, 2 Cu 2.53
Zn 0.4301 0.4190 0.8216  6 Zn 2.49-2.77, 2 Cu 2.53
Cu 0.8750 0.2500 0.7500  10 Zn 2.53-2.72
Cu 0.8750 0.7500 0.2500  10 Zn 2.53-2.72
Cu 0.8750 0.2500 0.2500  10 Zn 2.53-2.72
Cu 0.3750 0.7500 0.7500  10 Zn 2.53-2.72

2.
Computed, not measured: ZrTlRe3 after structural relaxation at the PBE-GGA level of DFT.

Values from the calculation:
**Magnetic moment**: 0.8 μB/f.u.
**Polymorph energy (0 for the lowest one)**: 0.2327 eV per atom
**Formation energy**: 13.82 eV/f.u.
**DOS(E_F)**: 9.28 states/eV/f.u.

a = 4.8744 Å, b = 4.8744 Å, c = 4.8744 Å
α = 90.00°, β = 90.00°, γ = 90.00°
Closest atoms and distances in Å follow each position.
Atoms (fractional coordinates):
Re 0.0000 0.5000 0.0000  2 Tl 2.44
Re 0.0000 0.0000 0.5000  2 Tl 2.44
Re 0.5000 0.0000 0.0000  2 Tl 2.44
Tl 0.0000 0.0000 0.0000  6 Re 2.44
Zr 0.5000 0.5000 0.5000  12 Re 3.45

3.
Computed, not measured: ThNbNiP2 after structural relaxation at the PBE-GGA level of DFT.

Values from the calculation:
**Magnetic moment**: 0.0 μB/f.u.
**Formation energy**: -4.36 eV/f.u.
**DOS(E_F)**: 5.24 states/eV/f.u.

a = 3.8356 Å, b = 3.8356 Å, c = 6.6175 Å
α = 106.85°, β = 106.85°, γ = 90.00°
Closest atoms and distances in Å follow each position.
Atoms (fractional coordinates):
Th 0.0000 0.0000 0.0000  8 P 3.10
Nb 0.7500 0.2500 0.5000  4 P 2.45, 4 Ni 2.71
Ni 0.2500 0.7500 0.5000  4 P 2.45, 4 Nb 2.71
P 0.6243 0.6243 0.2487  2 Nb 2.45, 2 Ni 2.45
P 0.3757 0.3757 0.7513  2 Ni 2.45, 2 Nb 2.45

4.
Computed, not measured: ZnGaPt14 after structural relaxation at the PBE-GGA level of DFT.

Values from the calculation:
**Magnetic moment**: 0.0 μB/f.u.
**Formation energy**: -2.53 eV/f.u.
**DOS(E_F)**: 23.65 states/eV/f.u.

a = 5.5547 Å, b = 5.5547 Å, c = 9.2538 Å
α = 90.00°, β = 90.00°, γ = 119.41°
Closest atoms and distances in Å follow each position.
Atoms (fractional coordinates):
Zn 0.0541 0.9459 0.5000  10 Pt 2.68-2.87, 2 Ga 2.80
Ga 0.5554 0.4446 0.5000  10 Pt 2.67-2.90, 2 Zn 2.80
Pt 0.1948 0.8052 0.0000  12 Pt 2.76-2.90
Pt 0.6960 0.3040 0.0000  12 Pt 2.77-2.90
Pt 0.0616 0.4412 0.5000  2 Zn 2.73-2.82, 2 Ga 2.73-2.82, 8 Pt 2.76-2.83
Pt 0.1969 0.3035 0.0000  12 Pt 2.76-2.97
Pt 0.5588 0.9384 0.5000  2 Zn 2.73-2.82, 2 Ga 2.73-2.82, 8 Pt 2.76-2.83
Pt 0.6965 0.8031 0.0000  12 Pt 2.76-2.97
Pt 0.3736 0.1284 0.7364  1 Ga 2.67, 1 Zn 2.68, 10 Pt 2.77-2.97
Pt 0.3736 0.1284 0.2636  1 Ga 2.67, 1 Zn 2.68, 10 Pt 2.77-2.97
Pt 0.8716 0.6264 0.7364  1 Ga 2.67, 1 Zn 2.68, 10 Pt 2.77-2.97
Pt 0.8716 0.6264 0.2636  1 Ga 2.67, 1 Zn 2.68, 10 Pt 2.77-2.97
Pt 0.3732 0.6268 0.7496  11 Pt 2.76-2.88, 1 Ga 2.90
Pt 0.3732 0.6268 0.2504  11 Pt 2.76-2.88, 1 Ga 2.90
Pt 0.8746 0.1254 0.7483  11 Pt 2.77-2.89, 1 Zn 2.87
Pt 0.8746 0.1254 0.2517  11 Pt 2.77-2.89, 1 Zn 2.87

5.
Computed, not measured: Al3IrCl after structural relaxation at the PBE-GGA level of DFT.

Values from the calculation:
**Formation energy from raw total energies**: -2.4 eV per formula unit
**Magnetic moment**: 0.0 μB/f.u.
**Polymorph energy (0 for the lowest one)**: 0.0000 eV per atom
**DOS(E_F)**: 2.88 states/eV/f.u.

a = 4.8055 Å, b = 4.8055 Å, c = 4.8055 Å
α = 90.00°, β = 90.00°, γ = 90.00°
Closest atoms and distances in Å follow each position.
Atoms (fractional coordinates):
Ir 0.0000 0.0000 0.0000  6 Al 2.40
Al 0.0000 0.5000 0.0000  2 Ir 2.40
Al 0.0000 0.0000 0.5000  2 Ir 2.40
Al 0.5000 0.0000 0.0000  2 Ir 2.40
Cl 0.5000 0.5000 0.5000  12 Al 3.40

6.
Computed, not measured: LaMoI2N after structural relaxation at the PBE-GGA level of DFT.

Values from the calculation:
**Formation energy from raw total energies**: -0.8 eV per formula unit
**Magnetic moment**: 0.0 μB/f.u.
**Polymorph energy (0 for the lowest one)**: 0.0000 eV per atom
**DOS(E_F)**: 2.92 states/eV/f.u.

a = 5.6958 Å, b = 5.6958 Å, c = 3.8929 Å
α = 90.00°, β = 90.00°, γ = 90.00°
Closest atoms and distances in Å follow each position.
Atoms (fractional coordinates):
I 0.0000 0.5000 0.0000  2 Mo 2.85
I 0.5000 0.0000 0.0000  2 Mo 2.85
Mo 0.0000 0.0000 0.0000  2 N 1.95
N 0.0000 0.0000 0.5000  2 Mo 1.95
La 0.5000 0.5000 0.5000  8 I 3.45

7.
Computed, not measured: CsSr2BH after structural relaxation at the PBE-GGA level of DFT.

Values from the calculation:
**Magnetic moment**: 0.0 μB/f.u.
**Total DFT energy (no corrections)**: -1.963 eV/atom
**DOS(E_F)**: 2.94 states/eV/f.u.

a = 5.4661 Å, b = 4.5233 Å, c = 5.4661 Å
α = 90.00°, β = 90.00°, γ = 90.00°
Closest atoms and distances in Å follow each position.
Atoms (fractional coordinates):
Cs 0.5000 0.5000 0.5000  8 Sr 3.55, 4 B 3.87
Sr 0.0000 0.0000 0.5000  2 H 2.73
Sr 0.5000 0.0000 0.0000  2 H 2.73
B 0.0000 0.5000 0.0000  2 H 2.26
H 0.0000 0.0000 0.0000  2 B 2.26